Compound: Tb2YS3
Source: Alexandria via LeMat-Bulk
Functional: PBE
Structure: relaxed

The structure belongs to space group Immm (No. 71); the cell edges are 3.9321, 5.5411 and 11.7600 Å and the angles 90.00°, 90.00° and 90.00°. Symmetry generates all atoms from Tb at (0.0000, 0.0000, 0.1669), Y at (0.0000, 0.0000, 0.5000), S at (0.0000, 0.5000, 0.1661) and S at (0.0000, 0.5000, 0.5000).

The calculation puts the formation energy (no corrections) at -2.004 eV/atom. The value obtained for the theoretical density is 6.52 Mg/m³. Its electronic total energy is -6.689 eV per atom. As for the crystal system: orthorhombic. The calculation puts the magnetization at 0.0 μB/f.u.